No. 1
Compound: TbDy12Tl6
Source: the Alexandria database
Functional: PBE-GGA
Structure: relaxed

The calculation puts the calculated volume at 1906.0 Å³ per cell. The value obtained for the density is 8.72 g/cm³. The density of states at the Fermi level comes out at 1.45 states/eV per atom. Its total energy is -0.142 hartree per atom. The total magnetization is 0.01 Bohr magnetons per cell.

It has space group R-3m (No. 166, hexagonal axes), with a = 14.0362 Å, b = 14.0362 Å, c = 11.1709 Å, α = 90.00°, β = 90.00° and γ = 120.00°. The asymmetric unit holds Tb at (0.0000, 0.0000, 0.0000), Dy at (0.0000, 0.3710, 0.5000), Dy at (0.0886, 0.1771, 0.3579) and Tl at (0.0323, 0.5162, 0.2769).

***

No. 2
Compound: NaLiAgI3
Source: the Alexandria database
Functional: PBE-GGA
Structure: relaxed

The calculation puts the calculated volume at 409.3 Å³ per cell. As for the energy relative to the elements, uncorrected: -489.9 kJ/mol of formula units. The value obtained for the density is 4.21 g/cm³. The density of states at the Fermi level comes out at 0.00 states/eV per atom. The total magnetization is 0.00 Bohr magnetons per cell.

It has space group P2_1/m (No. 11), with a = 8.6517 Å, b = 4.3221 Å, c = 11.1308 Å, α = 90.00°, β = 100.48° and γ = 90.00°. The asymmetric unit holds Na at (0.2060, 0.2500, 0.2466), Li at (0.1045, 0.2500, 0.6035), Ag at (0.3302, 0.7500, 0.9023), I at (0.0876, 0.2500, 0.8471), I at (0.2219, 0.7500, 0.4946) and I at (0.4395, 0.7500, 0.1633).

***

No. 3
Compound: Dy4CdTc
Source: the Alexandria database
Functional: PBE-GGA
Structure: relaxed

The calculation puts the calculated volume at 661.4 Å³ per cell. The value obtained for the density is 8.64 g/cm³. The density of states at the Fermi level comes out at 0.87 states/eV per atom. The total magnetization is 0.00 Bohr magnetons per cell. Its polymorph energy (0 for the lowest one) is 0 meV per atom.

It has space group C2/c (No. 15), with a = 8.6361 Å, b = 12.7608 Å, c = 6.2627 Å, α = 90.00°, β = 106.60° and γ = 90.00°. The asymmetric unit holds Dy at (0.1055, 0.1696, 0.0450), Dy at (0.2198, 0.4189, 0.3956), Cd at (0.0000, 0.3744, 0.7500) and Tc at (0.0000, 0.0011, 0.2500).

***

No. 4
Compound: YHo12Al3
Source: the Alexandria database
Functional: PBE-GGA
Structure: relaxed

The calculation puts the calculated volume at 443.4 Å³ per cell. The value obtained for the density is 8.05 g/cm³. The density of states at the Fermi level comes out at 1.07 states/eV per atom. Its total energy is -0.171 hartree per atom. The total magnetization is 0.00 Bohr magnetons per cell.

It has space group P4/mmm (No. 123), with a = 4.7747 Å, b = 4.7747 Å, c = 19.4507 Å, α = 90.00°, β = 90.00° and γ = 90.00°. The asymmetric unit holds Y at (0.0000, 0.0000, 0.0000), Ho at (0.0000, 0.5000, 0.1349), Ho at (0.0000, 0.5000, 0.3785), Ho at (0.5000, 0.5000, 0.0000), Ho at (0.5000, 0.5000, 0.2576), Ho at (0.5000, 0.5000, 0.5000), Al at (0.0000, 0.0000, 0.2583) and Al at (0.0000, 0.0000, 0.5000).

***

No. 5
Compound: YNiSe2
Source: the Alexandria database
Functional: PBE-GGA
Structure: relaxed

The calculation puts the calculated volume at 159.1 Å³ per cell. As for the energy relative to the elements, uncorrected: -341.5 kJ/mol of formula units. The value obtained for the density is 6.38 g/cm³. The density of states at the Fermi level comes out at 0.39 states/eV per atom. The total magnetization is 1.33 Bohr magnetons per cell.

It has space group Immm (No. 71), with a = 3.9362 Å, b = 5.4369 Å, c = 7.4365 Å, α = 90.00°, β = 90.00° and γ = 90.00°. The asymmetric unit holds Y at (0.0000, 0.0000, 0.0000), Ni at (0.0000, 0.0000, 0.5000) and Se at (0.0000, 0.5000, 0.1996).

***

No. 6
Compound: Pr3TeAsCl
Source: the Alexandria database
Functional: PBE-GGA
Structure: relaxed

The calculation puts the calculated volume at 366.8 Å³ per cell. As for the energy relative to the elements, uncorrected: -815.9 kJ/mol of formula units. The value obtained for the density is 5.98 g/cm³. The density of states at the Fermi level comes out at 0.60 states/eV per atom. The total magnetization is 0.99 Bohr magnetons per cell.

It has space group P2_1/m (No. 11), with a = 8.8683 Å, b = 4.3275 Å, c = 9.7010 Å, α = 90.00°, β = 99.83° and γ = 90.00°. The asymmetric unit holds Pr at (0.0794, 0.2500, 0.3497), Pr at (0.2009, 0.2500, 0.9743), Pr at (0.3821, 0.7500, 0.6314), Te at (0.3324, 0.7500, 0.2829), As at (0.1537, 0.2500, 0.6580) and Cl at (0.3909, 0.7500, 0.9229).

***

Q: Which of these has the lowest calculated volume?
A: YNiSe2

***

Q: What is the formula in the third record?
A: Dy4CdTc

***

Q: calculated volume of number 4 (YHo12Al3)?
A: 443.4 Å³ per cell

***

Q: Which value of calculated volume does entry 2 give?
A: 409.3 Å³ per cell